## i
# NpGa4Ir2

A relaxed structure of NpGa4Ir2 (PBE, Alexandria via LeMat-Bulk).

Output
Total magnetic moment ... 3.66 μB/f.u.
Density ... 12.245 g cm⁻³

Lattice parameters (Å, degrees): 4.281 6.679 17.081 90.00 90.00 90.00
Element x y z (fractional)
Np 0.250 0.468 0.861
Np 0.250 0.032 0.361
Np 0.750 0.532 0.139
Np 0.750 0.968 0.639
Ga 0.750 0.740 0.311
Ga 0.750 0.162 0.814
Ga 0.750 0.653 0.963
Ga 0.750 0.338 0.314
Ga 0.250 0.153 0.537
Ga 0.750 0.760 0.811
Ga 0.250 0.260 0.689
Ga 0.250 0.662 0.686
Ga 0.250 0.838 0.186
Ga 0.750 0.505 0.569
Ga 0.750 0.995 0.069
Ga 0.250 0.347 0.037
Ga 0.250 0.005 0.931
Ga 0.750 0.847 0.463
Ga 0.250 0.495 0.431
Ga 0.250 0.240 0.189
Ir 0.750 0.258 0.960
Ir 0.250 0.742 0.040
Ir 0.250 0.960 0.782
Ir 0.750 0.242 0.460
Ir 0.750 0.460 0.718
Ir 0.250 0.540 0.282
Ir 0.250 0.758 0.540
Ir 0.750 0.040 0.218

## ii
# NpGa4Ir2

A relaxed structure of NpGa4Ir2 (PBE, Alexandria via LeMat-Bulk).

Output
Total magnetic moment ... 3.74 μB/f.u.
Density ... 12.217 g cm⁻³

Lattice parameters (Å, degrees): 4.521 7.358 7.358 90.00 90.00 90.00
Element x y z (fractional)
Ga 0.500 0.410 0.836
Ga 0.000 0.664 0.910
Ga 0.500 0.164 0.590
Ga 0.000 0.336 0.090
Ga 0.500 0.836 0.410
Ga 0.000 0.090 0.336
Ga 0.000 0.910 0.664
Ga 0.500 0.590 0.164
Ir 0.000 0.238 0.762
Ir 0.500 0.262 0.262
Ir 0.000 0.762 0.238
Ir 0.500 0.738 0.738
Np 0.500 0.000 0.000
Np 0.000 0.500 0.500

The winner here is i, beating the second structure by 3.0 kJ/mol of atoms.

## i
# Np2GaIr3

A relaxed structure of Np2GaIr3 (PBE, Alexandria via LeMat-Bulk).

Output
Total magnetic moment ... 7.04 μB/f.u.
Density ... 17.430 g cm⁻³

Lattice parameters (Å, degrees): 5.103 5.103 5.103 66.31 66.31 66.31
Element x y z (fractional)
Np 0.380 0.380 0.380
Np 0.620 0.620 0.620
Ir 0.000 0.000 0.500
Ir 0.000 0.500 0.000
Ir 0.500 0.000 0.000
Ga 0.000 0.000 0.000

## ii
# Np2GaIr3

A relaxed structure of Np2GaIr3 (PBE, Alexandria via LeMat-Bulk).

Output
Total magnetic moment ... 6.67 μB/f.u.
Density ... 17.501 g cm⁻³

Lattice parameters (Å, degrees): 5.579 5.579 7.887 90.00 90.00 120.00
Element x y z (fractional)
Np 0.667 0.333 0.075
Np 0.667 0.333 0.425
Np 0.333 0.667 0.575
Np 0.333 0.667 0.925
Ir 0.829 0.657 0.750
Ir 0.171 0.343 0.250
Ir 0.657 0.829 0.250
Ir 0.829 0.171 0.750
Ir 0.171 0.829 0.250
Ir 0.343 0.171 0.750
Ga 0.000 0.000 0.000
Ga 0.000 0.000 0.500

The winner here is ii, beating the second structure by 1.4 kJ/mol of atoms.

## i
# GaIr2O

A relaxed structure of GaIr2O (PBE, Alexandria via LeMat-Bulk).

Output
Total magnetic moment ... 0.00 μB/f.u.
Density ... 12.058 g cm⁻³

Lattice parameters (Å, degrees): 4.418 4.418 7.334 72.47 72.47 90.00
Element x y z (fractional)
Ir 0.875 0.760 0.750
Ir 0.510 0.125 0.250
Ir 0.375 0.490 0.750
Ir 0.240 0.625 0.250
O 0.250 0.750 0.500
O 0.500 0.500 0.000
Ga 0.000 0.000 0.000
Ga 0.750 0.250 0.500

## ii
# GaIr2O

A relaxed structure of GaIr2O (PBE, Alexandria via LeMat-Bulk).

Output
Total magnetic moment ... 0.00 μB/f.u.
Density ... 15.063 g cm⁻³

Lattice parameters (Å, degrees): 4.185 4.185 4.185 60.00 60.00 60.00
Element x y z (fractional)
Ga 0.500 0.500 0.500
Ir 0.250 0.250 0.250
Ir 0.750 0.750 0.750
O 0.000 0.000 0.000

The winner here is i, beating the second structure by 22.1 kJ/mol of atoms.

## i
# GaP2IrO

A relaxed structure of GaP2IrO (PBE, Alexandria via LeMat-Bulk).

Output
Total magnetic moment ... 0.13 μB/f.u.
Density ... 7.152 g cm⁻³

Lattice parameters (Å, degrees): 4.795 4.795 3.432 90.00 90.00 90.00
Element x y z (fractional)
Ga 0.000 0.000 0.000
P 0.000 0.500 0.000
P 0.500 0.000 0.000
O 0.000 0.000 0.500
Ir 0.500 0.500 0.500

## ii
# GaP2IrO

A relaxed structure of GaP2IrO (PBE, Alexandria via LeMat-Bulk).

Output
Total magnetic moment ... 0.00 μB/f.u.
Density ... 6.448 g cm⁻³

Lattice parameters (Å, degrees): 4.869 4.869 3.692 90.00 90.00 90.00
Element x y z (fractional)
O 0.000 0.000 0.500
Ir 0.000 0.000 0.000
P 0.000 0.500 0.000
P 0.500 0.000 0.000
Ga 0.500 0.500 0.500

The winner here is ii, beating the second structure by 43.8 kJ/mol of atoms.

## i
# GaIrOs2

A relaxed structure of GaIrOs2 (PBE, Alexandria via LeMat-Bulk).

Output
Total magnetic moment ... 0.00 μB/f.u.
Density ... 12.154 g cm⁻³

Lattice parameters (Å, degrees): 5.584 5.584 6.876 66.05 66.05 90.00
Element x y z (fractional)
Os 0.111 0.625 0.250
Os 0.375 0.361 0.750
Os 0.875 0.889 0.750
Os 0.639 0.125 0.250
Ir 0.750 0.250 0.500
Ir 0.000 0.000 0.000
Ga 0.250 0.750 0.500
Ga 0.500 0.500 0.000

## ii
# GaIrOs2

A relaxed structure of GaIrOs2 (PBE, Alexandria via LeMat-Bulk).

Output
Total magnetic moment ... 0.00 μB/f.u.
Density ... 18.263 g cm⁻³

Lattice parameters (Å, degrees): 4.355 4.355 4.355 60.00 60.00 60.00
Element x y z (fractional)
Ir 0.500 0.500 0.500
Ga 0.000 0.000 0.000
Os 0.250 0.250 0.250
Os 0.750 0.750 0.750

The winner here is ii, beating the second structure by 85.4 kJ/mol of atoms.

## i
# GaIr3Os

A relaxed structure of GaIr3Os (PBE, Alexandria via LeMat-Bulk).

Output
Total magnetic moment ... 0.00 μB/f.u.
Density ... 12.832 g cm⁻³

Lattice parameters (Å, degrees): 4.766 4.766 4.766 90.00 90.00 90.00
Element x y z (fractional)
Os 0.000 0.000 0.000
Ir 0.000 0.000 0.500
Ir 0.000 0.500 0.000
Ir 0.500 0.000 0.000
Ga 0.500 0.500 0.500

## ii
# GaIr3Os

A relaxed structure of GaIr3Os (PBE, Alexandria via LeMat-Bulk).

Output
Total magnetic moment ... 0.00 μB/f.u.
Density ... 15.766 g cm⁻³

Lattice parameters (Å, degrees): 4.450 4.450 4.450 90.00 90.00 90.00
Element x y z (fractional)
Ga 0.000 0.000 0.000
Ir 0.500 0.000 0.000
Ir 0.000 0.500 0.000
Ir 0.000 0.000 0.500
Os 0.500 0.500 0.500

The winner here is i, beating the second structure by 13.0 kJ/mol of atoms.

## i
# GaIrOs3

A relaxed structure of GaIrOs3 (PBE, Alexandria via LeMat-Bulk).

Output
Total magnetic moment ... 0.00 μB/f.u.
Density ... 13.048 g cm⁻³

Lattice parameters (Å, degrees): 4.732 4.732 4.732 90.00 90.00 90.00
Element x y z (fractional)
Ga 0.500 0.500 0.500
Os 0.000 0.000 0.500
Os 0.000 0.500 0.000
Os 0.500 0.000 0.000
Ir 0.000 0.000 0.000

## ii
# GaIrOs3

A relaxed structure of GaIrOs3 (PBE, Alexandria via LeMat-Bulk).

Output
Total magnetic moment ... 0.00 μB/f.u.
Density ... 15.951 g cm⁻³

Lattice parameters (Å, degrees): 4.426 4.426 4.426 90.00 90.00 90.00
Element x y z (fractional)
Os 0.000 0.500 0.000
Os 0.500 0.000 0.000
Os 0.000 0.000 0.500
Ir 0.500 0.500 0.500
Ga 0.000 0.000 0.000

The winner here is ii, beating the second structure by 18.7 kJ/mol of atoms.

## i
# TaGaIrOs

A relaxed structure of TaGaIrOs (PBE, Alexandria via LeMat-Bulk).

Output
Total magnetic moment ... 0.00 μB/f.u.
Density ... 17.114 g cm⁻³

Lattice parameters (Å, degrees): 4.167 4.167 4.604 116.90 116.90 90.00
Element x y z (fractional)
Ta 0.250 0.750 0.500
Os 0.500 0.500 0.000
Ga 0.750 0.250 0.500
Ir 0.000 0.000 0.000

## ii
# TaGaIrOs

A relaxed structure of TaGaIrOs (PBE, Alexandria via LeMat-Bulk).

Output
Total magnetic moment ... 0.62 μB/f.u.
Density ... 16.980 g cm⁻³

Lattice parameters (Å, degrees): 4.441 4.441 4.441 60.00 60.00 60.00
Element x y z (fractional)
Ir 0.000 0.000 0.000
Ga 0.250 0.250 0.250
Os 0.500 0.500 0.500
Ta 0.750 0.750 0.750

The winner here is i, beating the second structure by 11.3 kJ/mol of atoms.